Material: SrMg3Os
Method: DFT, PBE
State: optimized geometry

Lattice parameters (Å, degrees): 5.110 5.110 5.110 90.00 90.00 90.00
Space group Pm-3m (No. 221)
Symmetry-distinct sites (fractional):
Sr  0.000  0.000  0.000 (multiplicity 1)
Mg  0.000  0.500  0.500 (multiplicity 3)
Os  0.500  0.500  0.500 (multiplicity 1)

---

Material: SrMgOs2
Method: DFT, PBE
State: optimized geometry

Lattice parameters (Å, degrees): 3.033 4.958 9.717 90.00 90.00 90.00
Space group Immm (No. 71)
Symmetry-distinct sites (fractional):
Sr  0.000  0.000  0.000 (multiplicity 2)
Mg  0.000  0.000  0.500 (multiplicity 2)
Os  0.000  0.500  0.231 (multiplicity 4)

---

Material: SrMgOs2
Method: DFT, PBE
State: optimized geometry

Lattice parameters (Å, degrees): 3.462 3.462 6.850 90.00 90.00 90.00
Space group P4/mmm (No. 123)
Symmetry-distinct sites (fractional):
Sr  0.000  0.000  0.000 (multiplicity 1)
Mg  0.000  0.000  0.500 (multiplicity 1)
Os  0.500  0.500  0.325 (multiplicity 2)

---

Material: Sr3MgOs
Method: DFT, PBE
State: optimized geometry

Lattice parameters (Å, degrees): 5.835 5.835 5.835 90.00 90.00 90.00
Space group Pm-3m (No. 221)
Symmetry-distinct sites (fractional):
Sr  0.000  0.000  0.500 (multiplicity 3)
Mg  0.500  0.500  0.500 (multiplicity 1)
Os  0.000  0.000  0.000 (multiplicity 1)

---

Number 1: mass density 4.4 g cm⁻³, uncorrected energy -3.3708 eV/atom. Number 2: mass density 11.2 g cm⁻³, uncorrected energy -5.5765 eV/atom. Number 3: mass density 10.0 g cm⁻³, uncorrected energy -5.6621 eV/atom. Number 4: mass density 4.0 g cm⁻³, uncorrected energy -3.1430 eV/atom.